Computed, not measured: a geometry-optimized RbAlS2 structure at the PBE level of DFT.

E_form (uncorrected) ... -84 kJ/mol of atoms
Fermi-level density of states ... 0.000 states/eV/atom
Symmetry ... R3m (160)

Cell and atoms, written as POSCAR:
```
RbAlS2
1.0
-2.013 8.517 -0.752
-2.540 7.822 3.086
1.070 8.552 1.696
S Al Rb
2 1 1
Direct
0.094 0.094 0.094
0.640 0.640 0.640
0.012 0.012 0.012
0.505 0.505 0.505
```